First-principles (PBE-GGA) data for a geometry-optimized Rb5S2 structure, as listed in Alexandria.

a = 17.8418 Å, b = 7.9660 Å, c = 8.7029 Å
α = 90.00°, β = 95.42°, γ = 90.00°
Space group C2/c (No. 15)
Symmetry-distinct sites (fractional):
Rb1 0.0000 0.0507 0.2500 [4 per cell]
Rb2 0.0827 0.3822 0.9144 [8 per cell]
Rb3 0.2206 0.0760 0.3352 [8 per cell]
S1 0.1022 0.2350 0.5655 [8 per cell]

total moment	1.542	Bohr magnetons per cell
formation energy without anion corrections	-777	meV per atom
crystal system	monoclinic
volume	43.98	A^3/atom